--- A ---
DFT (meta-GGA SCAN) results for a crystal of MoOs2Br relaxed with PBEsol.

## Properties
**Space-group type**: P4/mmm, No. 123
**M_tot**: 0.00 μB/cell

extended XYZ file:
```
4
Lattice="2.865 0.000 0.000 0.000 4.629 0.000 0.000 0.000 4.629" Properties=species:S:1:pos:R:3 pbc="T T T"
Os 0.000 2.315 0.000
Os 0.000 0.000 2.315
Br 1.433 2.315 2.315
Mo 1.433 0.000 0.000
```

--- B ---
DFT (meta-GGA SCAN) results for a crystal of MoOs2Br relaxed with PBEsol.

## Properties
**Space-group type**: R-3m, No. 166
**M_tot**: 0.00 μB/cell

extended XYZ file:
```
4
Lattice="2.848 0.000 0.000 1.424 2.466 0.000 1.424 0.822 8.745" Properties=species:S:1:pos:R:3 pbc="T T T"
Mo 0.000 0.000 0.000
Br 2.848 1.644 4.373
Os 4.271 2.466 6.638
Os 1.424 0.822 2.107
```

Name the least stable of them. A.

--- A ---
DFT (meta-GGA SCAN) results for a crystal of MoPBr2 relaxed with PBEsol.

## Properties
**Space-group type**: P4/mmm, No. 123
**M_tot**: 0.00 μB/cell

extended XYZ file:
```
4
Lattice="3.008 0.000 0.000 0.000 3.008 0.000 0.000 0.000 8.608" Properties=species:S:1:pos:R:3 pbc="T T T"
Br 0.000 0.000 1.611
Br 0.000 0.000 6.997
P 1.504 1.504 4.304
Mo 1.504 1.504 0.000
```

--- B ---
DFT (meta-GGA SCAN) results for a crystal of MoPBr2 relaxed with PBEsol.

## Properties
**Space-group type**: P4mm, No. 99
**M_tot**: 0.01 μB/cell

extended XYZ file:
```
4
Lattice="3.239 0.000 0.000 0.000 3.239 0.000 0.000 0.000 7.532" Properties=species:S:1:pos:R:3 pbc="T T T"
P 1.620 1.620 5.213
Mo 0.000 0.000 4.269
Br 1.620 1.620 2.357
Br 0.000 0.000 6.991
```

--- C ---
DFT (meta-GGA SCAN) results for a crystal of MoPBr2 relaxed with PBEsol.

## Properties
**Space-group type**: P4/mmm, No. 123
**M_tot**: 1.56 μB/cell

extended XYZ file:
```
4
Lattice="3.209 0.000 0.000 0.000 4.632 0.000 0.000 0.000 4.632" Properties=species:S:1:pos:R:3 pbc="T T T"
Br 0.000 2.316 0.000
Br 0.000 0.000 2.316
P 1.605 0.000 0.000
Mo 1.605 2.316 2.316
```

Name the least stable of them. C.

--- A ---
DFT (meta-GGA SCAN) results for a crystal of MoPbBr2 relaxed with PBEsol.

## Properties
**Space-group type**: P4mm, No. 99
**M_tot**: 0.00 μB/cell

extended XYZ file:
```
4
Lattice="3.297 0.000 0.000 0.000 3.297 0.000 0.000 0.000 8.261" Properties=species:S:1:pos:R:3 pbc="T T T"
Br 0.000 0.000 8.103
Br 1.649 1.649 2.676
Mo 0.000 0.000 3.854
Pb 1.649 1.649 6.019
```

--- B ---
DFT (meta-GGA SCAN) results for a crystal of MoPbBr2 relaxed with PBEsol.

## Properties
**Space-group type**: I4/mmm, No. 139
**M_tot**: 4.34 μB/cell

extended XYZ file:
```
4
Lattice="-0.138 -2.555 -4.420 2.863 -1.751 3.873 -1.402 -4.233 2.491" Properties=species:S:1:pos:R:3 pbc="T T T"
Pb 0.000 0.000 0.000
Br 1.046 -2.572 1.454
Br 0.276 -5.966 0.490
Mo -0.770 -3.394 -0.965
```

--- C ---
DFT (meta-GGA SCAN) results for a crystal of MoPbBr2 relaxed with PBEsol.

## Properties
**Space-group type**: R-3m, No. 166
**M_tot**: 0.00 μB/cell

extended XYZ file:
```
4
Lattice="-1.940 0.503 -2.576 -2.963 -1.365 -0.102 -5.534 7.841 3.631" Properties=species:S:1:pos:R:3 pbc="T T T"
Br -5.832 1.075 -1.601
Br -4.605 5.905 2.553
Mo 0.000 0.000 0.000
Pb -5.219 3.490 0.476
```

Name the least stable of them. B.

--- A ---
DFT (meta-GGA SCAN) results for a crystal of ReMo2Br relaxed with PBEsol.

## Properties
**Space-group type**: F-43m, No. 216
**M_tot**: 0.00 μB/cell

extended XYZ file:
```
4
Lattice="4.448 0.000 0.000 2.224 3.852 0.000 2.224 1.284 3.631" Properties=species:S:1:pos:R:3 pbc="T T T"
Mo 0.000 0.000 0.000
Mo 6.671 3.852 2.724
Re 2.224 1.284 0.908
Br 4.448 2.568 1.816
```

--- B ---
DFT (meta-GGA SCAN) results for a crystal of ReMo2Br relaxed with PBEsol.

## Properties
**Space-group type**: Immm, No. 71
**M_tot**: 0.00 μB/cell

extended XYZ file:
```
4
Lattice="2.986 0.000 0.000 0.000 4.507 0.000 -1.493 -2.254 4.509" Properties=species:S:1:pos:R:3 pbc="T T T"
Mo 0.000 0.000 2.386
Mo 1.493 2.254 2.123
Re 1.493 0.000 0.000
Br 0.000 2.254 0.000
```

Name the least stable of them. A.

--- A ---
DFT (meta-GGA SCAN) results for a crystal of ReMo2Br relaxed with PBEsol.

## Properties
**Space-group type**: Pmmm, No. 47
**M_tot**: 0.00 μB/cell

extended XYZ file:
```
4
Lattice="-0.601 1.563 2.526 -3.231 1.280 -1.561 -3.021 -4.846 2.280" Properties=species:S:1:pos:R:3 pbc="T T T"
Mo -2.456 -3.940 1.854
Mo -0.565 -0.906 0.426
Re -1.916 1.421 0.483
Br -3.426 -1.001 1.623
```

--- B ---
DFT (meta-GGA SCAN) results for a crystal of ReMo2Br relaxed with PBEsol.

## Properties
**Space-group type**: Pmmm, No. 47
**M_tot**: 0.00 μB/cell

extended XYZ file:
```
4
Lattice="-1.344 -1.771 2.020 3.983 -0.709 2.028 -0.720 3.589 2.668" Properties=species:S:1:pos:R:3 pbc="T T T"
Mo -1.032 0.909 2.344
Mo 0.000 0.000 0.000
Br 1.632 1.440 2.348
Re 1.319 -1.240 2.024
```

Name the least stable of them. B.

--- A ---
DFT (meta-GGA SCAN) results for a crystal of Mo2RhBr relaxed with PBEsol.

## Properties
**Space-group type**: Cmmm, No. 65
**M_tot**: 0.00 μB/cell

extended XYZ file:
```
4
Lattice="-2.249 0.926 1.369 1.027 -2.395 1.001 5.288 4.598 5.578" Properties=species:S:1:pos:R:3 pbc="T T T"
Mo 3.903 3.394 4.116
Mo 1.386 1.205 1.461
Br -0.611 -0.735 1.185
Rh 2.033 1.565 3.974
```

--- B ---
DFT (meta-GGA SCAN) results for a crystal of Mo2RhBr relaxed with PBEsol.

## Properties
**Space-group type**: Pmmm, No. 47
**M_tot**: 0.00 μB/cell

extended XYZ file:
```
4
Lattice="-1.213 2.427 1.103 -1.558 0.384 -2.559 -5.080 -3.693 2.538" Properties=species:S:1:pos:R:3 pbc="T T T"
Br -3.926 -0.441 0.541
Rh -1.385 1.405 -0.728
Mo -1.277 -0.929 0.638
Mo -3.803 -2.765 1.900
```

Name the least stable of them. A.

--- A ---
DFT (meta-GGA SCAN) results for a crystal of MoRuBr2 relaxed with PBEsol.

## Properties
**Space-group type**: R-3m, No. 166
**M_tot**: 0.00 μB/cell

extended XYZ file:
```
4
Lattice="3.098 0.000 0.000 1.549 2.683 0.000 1.549 0.894 8.433" Properties=species:S:1:pos:R:3 pbc="T T T"
Mo 3.098 1.789 4.216
Br 4.648 2.683 2.359
Br 1.549 0.894 6.073
Ru 0.000 0.000 0.000
```

--- B ---
DFT (meta-GGA SCAN) results for a crystal of MoRuBr2 relaxed with PBEsol.

## Properties
**Space-group type**: Fm-3m, No. 225
**M_tot**: 0.00 μB/cell

extended XYZ file:
```
4
Lattice="4.468 0.000 0.000 2.234 3.869 0.000 2.234 1.290 3.648" Properties=species:S:1:pos:R:3 pbc="T T T"
Mo 4.468 2.580 1.824
Ru 0.000 0.000 0.000
Br 2.234 1.290 0.912
Br 6.702 3.869 2.736
```

Name the least stable of them. B.

--- A ---
DFT (meta-GGA SCAN) results for a crystal of SbMoBr relaxed with PBEsol.

## Properties
**Space-group type**: F-43m, No. 216
**M_tot**: 2.29 μB/cell

extended XYZ file:
```
3
Lattice="-2.530 3.678 1.173 -0.878 0.874 4.446 1.995 3.604 2.081" Properties=species:S:1:pos:R:3 pbc="T T T"
Sb -0.706 4.078 3.850
Br -0.353 2.039 1.925
Mo 0.000 0.000 0.000
```

--- B ---
DFT (meta-GGA SCAN) results for a crystal of SbMoBr relaxed with PBEsol.

## Properties
**Space-group type**: Fmm2, No. 42
**M_tot**: 1.30 μB/cell

extended XYZ file:
```
3
Lattice="-2.666 0.907 -1.234 -2.135 -2.255 -0.875 -4.506 0.721 6.435" Properties=species:S:1:pos:R:3 pbc="T T T"
Mo -2.343 0.539 1.627
Br -2.865 0.924 -0.792
Sb -4.631 1.073 3.133
```

Name the least stable of them. A.